Density functional theory data (GGA+U) for CaHfCr2O6 after structural relaxation.

Summary:
The space group is R3 (146). The calculation puts the electronic total energy at -8.300 eV/atom. Its crystal system is trigonal.

Lattice parameters (Å, degrees): 5.3550 5.3547 5.6015 61.44 61.44 60.00
Closest atoms and distances in Å follow each position.
Fractional coordinates of all 10 atoms:
O: 0.8999 0.6262 0.2256  2 Cr 2.04-2.09, 1 Hf 2.07
O: 0.3574 0.7255 0.7469  2 Cr 2.00-2.06, 1 Hf 2.15
O: 0.2483 0.8999 0.2256  2 Cr 2.04-2.09, 1 Hf 2.07
O: 0.1703 0.3574 0.7469  2 Cr 2.00-2.06, 1 Hf 2.15
O: 0.7255 0.1702 0.7469  2 Cr 2.00-2.06, 1 Hf 2.15
O: 0.6262 0.2484 0.2255  2 Cr 2.04-2.09, 1 Hf 2.07
Cr: 0.0142 0.0142 0.9575  6 O 2.00-2.09
Cr: 0.5171 0.5171 0.4486  6 O 2.04-2.06
Hf: 0.3092 0.3092 0.0725  6 O 2.07-2.15
Ca: 0.7936 0.7935 0.6193  6 O 2.26-2.48